Entry from Alexandria: a geometry-optimized CrGaPRu2 structure (PBE-GGA).

Summary:
size of the total moment: 0.184 μB/cell
symmetry: P4/mmm, No. 123
electronic total energy: -32.2 eV for the cell shown
E_form: 887 meV/atom
density of states at the Fermi level: 5.68 states/eV per cell

Unit cell a=4.2797 b=4.5729 c=4.2797 alpha=90.00 beta=90.00 gamma=90.00
Site moments in Bohr magnetons follow the coordinates.
Sites, in units of the cell vectors:
1 Ru 0.0000 0.0000 0.5000  0.16
2 Ru 0.5000 0.0000 0.0000  0.27
3 P 0.0000 0.0000 0.0000  0.00
4 Ga 0.0000 0.5000 0.0000  0.04
5 Cr 0.5000 0.5000 0.5000  -0.28